# 1
! Zr2AlTc, optimized geometry, DFT GGA-PBEsol; values from VASP
! **Space group**: P4/mmm
! **M_tot**: 0.0 μB/f.u.
! **V**: 72 Å³/f.u.
! **Energy relative to the elements**: -0.450 eV/atom
&SYSTEM
  ibrav = 0, nat = 4, ntyp = 3
/
ATOMIC_SPECIES
Zr 91.22 Zr.upf
Tc 98.00 Tc.upf
Al 26.98 Al.upf
CELL_PARAMETERS angstrom
3.327 0.000 0.000
0.000 3.327 0.000
0.000 0.000 6.487
ATOMIC_POSITIONS angstrom
Zr 0.000 0.000 3.332
Zr 0.000 0.000 6.399
Tc 1.663 1.663 4.865
Al 1.663 1.663 1.622

=====

# 2
! AlTe2, optimized geometry, DFT GGA-PBEsol; values from VASP
! **Formation energy (no corrections)**: -76 kJ/mol of formula units
! **Space group**: Cmcm
! **M_tot**: 0.0 μB/f.u.
! **V**: 81 Å³/f.u.
&SYSTEM
  ibrav = 0, nat = 6, ntyp = 2
/
ATOMIC_SPECIES
Al 26.98 Al.upf
Te 127.60 Te.upf
CELL_PARAMETERS angstrom
-1.376 -3.657 0.889
1.497 0.756 5.427
-5.693 4.565 0.935
ATOMIC_POSITIONS angstrom
Al -3.798 0.553 5.429
Al -1.774 1.110 1.821
Te -0.660 -1.491 1.876
Te -4.194 0.024 2.640
Te -1.378 1.639 4.611
Te -4.913 3.155 5.375